Record 1
Computed, not measured: a relaxed PmPr2Dy4Sc crystal at the PBE-GGA level of DFT.

Output
- D(E_F) (states/eV/f.u.) = 18.57
- energy relative to the elements (eV/atom) = 0.404

abc: 9.458 9.458 6.785
angles: 111.01 111.01 88.01
Fractional positions:
1 Pm 0.000 0.500 0.000
2 Pm 0.500 0.000 0.500
3 Pr 0.000 0.000 0.000
4 Pr 0.000 0.000 0.500
5 Pr 0.000 0.500 0.500
6 Pr 0.500 0.000 0.000
7 Dy 0.265 0.735 0.000
8 Dy 0.265 0.735 0.500
9 Dy 0.267 0.267 0.018
10 Dy 0.267 0.267 0.518
11 Dy 0.733 0.733 0.482
12 Dy 0.733 0.733 0.982
13 Dy 0.735 0.265 0.000
14 Dy 0.735 0.265 0.500
15 Sc 0.500 0.500 0.000
16 Sc 0.500 0.500 0.500

***

Record 2
Computed, not measured: a relaxed CaSi2As crystal at the PBE-GGA level of DFT.

Output
- D(E_F) (states/eV/f.u.) = 1.87
- E_form (uncorrected) (eV/atom) = -0.065

abc: 4.103 4.143 4.498
angles: 90.00 90.00 90.00
Fractional positions:
1 Ca 0.000 0.000 0.000
2 Si 0.000 0.500 0.500
3 Si 0.500 0.000 0.500
4 As 0.500 0.500 0.000

***

Record 3
Computed, not measured: a relaxed Pm5InSn8 crystal at the PBE-GGA level of DFT.

Output
- D(E_F) (states/eV/f.u.) = 8.95
- energy relative to the elements (eV/atom) = -0.442

abc: 8.142 8.142 8.142
angles: 106.70 106.70 115.18
Fractional positions:
1 Pm 0.000 0.000 0.000
2 Pm 0.246 0.657 0.171
3 Pm 0.343 0.514 0.589
4 Pm 0.486 0.075 0.829
5 Pm 0.925 0.754 0.411
6 In 0.750 0.250 0.500
7 Sn 0.097 0.688 0.783
8 Sn 0.164 0.253 0.789
9 Sn 0.312 0.094 0.408
10 Sn 0.464 0.375 0.211
11 Sn 0.625 0.836 0.089
12 Sn 0.686 0.903 0.592
13 Sn 0.747 0.536 0.911
14 Sn 0.906 0.314 0.217

***

Record 4
Computed, not measured: a relaxed CrGaCoSi2 crystal at the PBE-GGA level of DFT.

Output
- D(E_F) (states/eV/f.u.) = 5.68
- ΔE to the lowest computed polymorph (kJ/mol of atoms) = 96.10
- E_form (uncorrected) (eV/atom) = 1.399

abc: 4.603 4.603 4.660
angles: 90.00 90.00 90.00
Fractional positions:
1 Cr 0.000 0.000 0.000
2 Ga 0.000 0.000 0.500
3 Co 0.500 0.500 0.000
4 Si 0.000 0.500 0.500
5 Si 0.500 0.000 0.500

***

Record 5
Computed, not measured: a relaxed CrFeP2 crystal at the PBE-GGA level of DFT.

Output
- D(E_F) (states/eV/f.u.) = 3.30
- ΔE to the lowest computed polymorph (kJ/mol of atoms) = 52.34
- energy relative to the elements (eV/atom) = -0.014

abc: 2.664 2.664 7.341
angles: 90.00 90.00 90.00
Fractional positions:
1 Cr 0.000 0.000 0.000
2 Fe 0.500 0.500 0.231
3 P 0.000 0.000 0.410
4 P 0.500 0.500 0.788

***

Record 6
Computed, not measured: a relaxed SiTc2Ir crystal at the PBE-GGA level of DFT.

Output
- D(E_F) (states/eV/f.u.) = 3.94
- E_form (uncorrected) (eV/atom) = -0.024

abc: 2.905 4.349 4.480
angles: 90.00 90.00 90.00
Fractional positions:
1 Si 0.000 0.000 0.000
2 Tc 0.000 0.500 0.500
3 Tc 0.500 0.000 0.500
4 Ir 0.500 0.500 0.000

***

Record 7
Computed, not measured: a relaxed GeSb2Mo2 crystal at the PBE-GGA level of DFT.

Output
- D(E_F) (states/eV/f.u.) = 2.87
- E_form (uncorrected) (eV/atom) = 0.310

abc: 7.321 7.321 3.612
angles: 90.00 90.00 90.00
Fractional positions:
1 Ge 0.000 0.000 0.000
2 Ge 0.500 0.500 0.000
3 Sb 0.149 0.351 0.500
4 Sb 0.351 0.851 0.500
5 Sb 0.649 0.149 0.500
6 Sb 0.851 0.649 0.500
7 Mo 0.150 0.650 0.000
8 Mo 0.350 0.150 0.000
9 Mo 0.650 0.850 0.000
10 Mo 0.850 0.350 0.000

***

Record 8
Computed, not measured: a relaxed NdHo4Co4 crystal at the PBE-GGA level of DFT.

Output
- D(E_F) (states/eV/f.u.) = 5.40
- energy relative to the elements (eV/atom) = -0.050

abc: 8.474 8.474 5.527
angles: 90.00 90.00 90.00
Fractional positions:
1 Nd 0.250 0.250 0.250
2 Nd 0.750 0.750 0.750
3 Ho 0.066 0.671 0.135
4 Ho 0.171 0.934 0.635
5 Ho 0.329 0.566 0.635
6 Ho 0.434 0.829 0.135
7 Ho 0.566 0.171 0.865
8 Ho 0.671 0.434 0.365
9 Ho 0.829 0.066 0.365
10 Ho 0.934 0.329 0.865
11 Co 0.018 0.609 0.619
12 Co 0.109 0.982 0.119
13 Co 0.391 0.518 0.119
14 Co 0.482 0.891 0.619
15 Co 0.518 0.109 0.381
16 Co 0.609 0.482 0.881
17 Co 0.891 0.018 0.881
18 Co 0.982 0.391 0.381

***

Record 9
Computed, not measured: a relaxed Al2In2Ga crystal at the PBE-GGA level of DFT.

Output
- D(E_F) (states/eV/f.u.) = 2.62
- ΔE to the lowest computed polymorph (kJ/mol of atoms) = 6.00
- energy relative to the elements (eV/atom) = 0.194

abc: 8.437 8.437 8.437
angles: 153.85 153.85 37.32
Fractional positions:
1 Al 0.250 0.750 0.500
2 Al 0.750 0.250 0.500
3 In 0.102 0.102 0.000
4 In 0.898 0.898 0.000
5 Ga 0.500 0.500 0.000

***

Record 10
Computed, not measured: a relaxed NdTiSn2 crystal at the PBE-GGA level of DFT.

Output
- D(E_F) (states/eV/f.u.) = 4.27
- ΔE to the lowest computed polymorph (kJ/mol of atoms) = 4.22
- energy relative to the elements (eV/atom) = -0.359

abc: 3.766 3.766 6.846
angles: 90.00 90.00 90.00
Fractional positions:
1 Nd 0.000 0.000 0.000
2 Ti 0.000 0.000 0.500
3 Sn 0.500 0.500 0.290
4 Sn 0.500 0.500 0.710

***

Record 11
Computed, not measured: a relaxed NdYCBr crystal at the PBE-GGA level of DFT.

Output
- D(E_F) (states/eV/f.u.) = 2.14
- E_form (uncorrected) (eV/atom) = -0.917

abc: 7.642 7.642 7.642
angles: 28.35 28.35 28.35
Fractional positions:
1 Nd 0.000 0.000 0.000
2 Y 0.787 0.787 0.787
3 C 0.399 0.399 0.399
4 Br 0.222 0.222 0.222

***

Record 12
Computed, not measured: a relaxed Pm4Sm2Te3N2 crystal at the PBE-GGA level of DFT.

Output
- D(E_F) (states/eV/f.u.) = 6.22
- E_form (uncorrected) (eV/atom) = -1.170

abc: 13.561 13.561 13.561
angles: 160.06 160.06 28.35
Fractional positions:
1 Pm 0.083 0.583 0.500
2 Pm 0.417 0.917 0.500
3 Pm 0.583 0.083 0.500
4 Pm 0.917 0.417 0.500
5 Sm 0.194 0.194 0.000
6 Sm 0.806 0.806 0.000
7 Te 0.321 0.321 0.000
8 Te 0.500 0.500 0.000
9 Te 0.679 0.679 0.000
10 N 0.108 0.108 0.000
11 N 0.892 0.892 0.000

***

Record 13
Computed, not measured: a relaxed Ac2MgCdPt6 crystal at the PBE-GGA level of DFT.

Output
- D(E_F) (states/eV/f.u.) = 3.84
- energy relative to the elements (eV/atom) = -0.669

abc: 5.768 5.768 9.175
angles: 108.36 108.36 60.00
Fractional positions:
1 Ac 0.207 0.207 0.121
2 Ac 0.793 0.793 0.879
3 Mg 0.500 0.500 0.000
4 Cd 0.000 0.000 0.500
5 Pt 0.244 0.746 0.236
6 Pt 0.254 0.254 0.764
7 Pt 0.254 0.756 0.764
8 Pt 0.746 0.244 0.236
9 Pt 0.746 0.746 0.236
10 Pt 0.756 0.254 0.764

***

Record 14
Computed, not measured: a relaxed PaCdAg2 crystal at the PBE-GGA level of DFT.

Output
- D(E_F) (states/eV/f.u.) = 5.23
- ΔE to the lowest computed polymorph (kJ/mol of atoms) = 17.94
- energy relative to the elements (eV/atom) = 0.261

abc: 11.274 11.274 11.274
angles: 15.29 15.29 15.29
Fractional positions:
1 Pa 0.000 0.000 0.000
2 Cd 0.500 0.500 0.500
3 Ag 0.091 0.091 0.091
4 Ag 0.909 0.909 0.909

***

Record 15
Computed, not measured: a relaxed CeHoAg crystal at the PBE-GGA level of DFT.

Output
- D(E_F) (states/eV/f.u.) = 5.67
- ΔE to the lowest computed polymorph (kJ/mol of atoms) = 4.21
- energy relative to the elements (eV/atom) = -0.070

abc: 7.039 7.039 7.039
angles: 151.17 151.17 41.23
Fractional positions:
1 Ce 0.000 0.000 0.000
2 Ho 0.303 0.303 0.000
3 Ag 0.664 0.664 0.000

***

Record 16
Computed, not measured: a relaxed OsPd3S crystal at the PBE-GGA level of DFT.

Output
- D(E_F) (states/eV/f.u.) = 6.14
- ΔE to the lowest computed polymorph (kJ/mol of atoms) = 0.00
- E_form (uncorrected) (eV/atom) = 0.790

abc: 4.445 4.445 4.445
angles: 90.00 90.00 90.00
Fractional positions:
1 Os 0.000 0.000 0.000
2 Pd 0.000 0.500 0.500
3 Pd 0.500 0.000 0.500
4 Pd 0.500 0.500 0.000
5 S 0.500 0.500 0.500

***

Record 17
Computed, not measured: a relaxed K2HfZnO4 crystal at the PBE-GGA level of DFT.

Output
- D(E_F) (states/eV/f.u.) = 0.00
- E_form (uncorrected) (eV/atom) = -2.223

abc: 5.883 5.883 5.883
angles: 120.59 120.59 88.99
Fractional positions:
1 K 0.000 0.000 0.000
2 K 0.750 0.250 0.500
3 Hf 0.500 0.500 0.000
4 Zn 0.250 0.750 0.500
5 O 0.229 0.615 0.100
6 O 0.385 0.485 0.614
7 O 0.515 0.129 0.900
8 O 0.871 0.771 0.386

***

Record 18
Computed, not measured: a relaxed InAg2Cl crystal at the PBE-GGA level of DFT.

Output
- D(E_F) (states/eV/f.u.) = 0.82
- E_form (uncorrected) (eV/atom) = -0.009

abc: 4.132 4.132 5.401
angles: 90.00 90.00 90.00
Fractional positions:
1 In 0.000 0.000 0.000
2 Ag 0.000 0.500 0.500
3 Ag 0.500 0.000 0.500
4 Cl 0.500 0.500 0.000

***

| no. | raw total energy (eV per atom) | density (Mg/m³) |
| --- | --- | --- |
| 1 | -4.477 | 7.1 |
| 2 | -4.439 | 3.7 |
| 3 | -4.622 | 7.2 |
| 4 | -4.721 | 4.0 |
| 5 | -7.241 | 5.4 |
| 6 | -8.778 | 12.2 |
| 7 | -6.595 | 8.7 |
| 8 | -5.772 | 8.7 |
| 9 | -3.004 | 5.0 |
| 10 | -5.526 | 7.3 |
| 11 | -6.449 | 6.1 |
| 12 | -6.126 | 7.4 |
| 13 | -5.366 | 11.9 |
| 14 | -3.768 | 10.7 |
| 15 | -4.525 | 8.5 |
| 16 | -5.398 | 10.2 |
| 17 | -6.380 | 4.5 |
| 18 | -2.580 | 6.6 |